[1]
Here is an optimized crystal structure of AcLa3Sn2 from Alexandria via LeMat-Bulk. Energies are from GGA-PBE.

As for the electronic total energy: -28.9 eV for the cell shown. The calculation puts the formation energy at -0.34 eV per atom. The calculation puts the energy above the most stable polymorph in this dataset at 206.0 meV/atom.

It has space group Pmm2 (No. 25), with a = 3.7432 Å, b = 4.5836 Å, c = 11.9893 Å, α = 90.00°, β = 90.00° and γ = 90.00°. The distinct sites, in fractional coordinates, are Ac at (0.0000, 0.0000, 0.0000), La at (0.0000, 0.0000, 0.2881), La at (0.0000, 0.5000, 0.4706), La at (0.0000, 0.5000, 0.7417), Sn at (0.5000, 0.0000, 0.5974) and Sn at (0.5000, 0.5000, 0.1662).

---

[2]
Here is an optimized crystal structure of NiMoAs2 from Alexandria via LeMat-Bulk. Energies are from GGA-PBE.

As for the electronic total energy: -26.0 eV for the cell shown. The calculation puts the formation energy at -0.01 eV per atom.

It has space group P4/mmm (No. 123), with a = 3.1767 Å, b = 3.1767 Å, c = 5.8096 Å, α = 90.00°, β = 90.00° and γ = 90.00°. The distinct sites, in fractional coordinates, are Ni at (0.0000, 0.0000, 0.0000), Mo at (0.0000, 0.0000, 0.5000) and As at (0.5000, 0.5000, 0.2470).

---

[3]
Here is an optimized crystal structure of Mg2InW from Alexandria via LeMat-Bulk. Energies are from GGA-PBE.

As for the electronic total energy: -17.2 eV for the cell shown. The calculation puts the formation energy at 0.43 eV per atom.

It has space group P4/mmm (No. 123), with a = 4.1850 Å, b = 4.1850 Å, c = 4.3007 Å, α = 90.00°, β = 90.00° and γ = 90.00°. The distinct sites, in fractional coordinates, are Mg at (0.0000, 0.5000, 0.0000), In at (0.0000, 0.0000, 0.5000) and W at (0.5000, 0.5000, 0.5000).

---

[4]
Here is an optimized crystal structure of SiSbI2Cl from Alexandria via LeMat-Bulk. Energies are from GGA-PBE.

As for the electronic total energy: -12.9 eV for the cell shown. The calculation puts the energy above the most stable polymorph in this dataset at 0.0 meV/atom.

It has space group P4/mmm (No. 123), with a = 5.4123 Å, b = 5.4123 Å, c = 5.4793 Å, α = 90.00°, β = 90.00° and γ = 90.00°. The distinct sites, in fractional coordinates, are Si at (0.0000, 0.0000, 0.0000), Sb at (0.0000, 0.0000, 0.5000), I at (0.0000, 0.5000, 0.0000) and Cl at (0.5000, 0.5000, 0.5000).

---

[5]
Here is an optimized crystal structure of LiGa6Ir5 from Alexandria via LeMat-Bulk. Energies are from GGA-PBE.

As for the electronic total energy: -138.6 eV for the cell shown. The calculation puts the formation energy at -0.41 eV per atom. The calculation puts the energy above the most stable polymorph in this dataset at 0.0 meV/atom.

It has space group Immm (No. 71), with a = 4.3516 Å, b = 5.9927 Å, c = 13.1075 Å, α = 90.00°, β = 90.00° and γ = 90.00°. The distinct sites, in fractional coordinates, are Li at (0.0000, 0.0000, 0.0000), Ga at (0.0000, 0.2485, 0.1667), Ga at (0.0000, 0.2547, 0.5000), Ir at (0.0000, 0.0000, 0.3356), Ir at (0.0000, 0.5000, 0.0000) and Ir at (0.0000, 0.5000, 0.3347).

---

[6]
Here is an optimized crystal structure of RePbAu from Alexandria via LeMat-Bulk. Energies are from GGA-PBE.

As for the electronic total energy: -65.8 eV for the cell shown. The calculation puts the formation energy at 0.99 eV per atom. The calculation puts the energy above the most stable polymorph in this dataset at 147.1 meV/atom.

It has space group F-43m (No. 216), with a = 6.4756 Å, b = 6.4756 Å, c = 6.4756 Å, α = 90.00°, β = 90.00° and γ = 90.00°. The distinct sites, in fractional coordinates, are Re at (0.0000, 0.0000, 0.0000), Pb at (0.2500, 0.2500, 0.2500) and Au at (0.2500, 0.2500, 0.7500).

---

[7]
Here is an optimized crystal structure of Hg3RuO from Alexandria via LeMat-Bulk. Energies are from GGA-PBE.

As for the electronic total energy: -10.3 eV for the cell shown. The calculation puts the energy above the most stable polymorph in this dataset at 115.6 meV/atom.

It has space group Pm-3m (No. 221), with a = 5.2823 Å, b = 5.2823 Å, c = 5.2823 Å, α = 90.00°, β = 90.00° and γ = 90.00°. The distinct sites, in fractional coordinates, are Hg at (0.0000, 0.0000, 0.5000), Ru at (0.0000, 0.0000, 0.0000) and O at (0.5000, 0.5000, 0.5000).

---

[8]
Here is an optimized crystal structure of HfMnSb2I from Alexandria via LeMat-Bulk. Energies are from GGA-PBE.

As for the electronic total energy: -26.2 eV for the cell shown. The calculation puts the energy above the most stable polymorph in this dataset at 0.0 meV/atom.

It has space group P4/mmm (No. 123), with a = 5.5480 Å, b = 5.5480 Å, c = 5.6716 Å, α = 90.00°, β = 90.00° and γ = 90.00°. The distinct sites, in fractional coordinates, are Hf at (0.0000, 0.0000, 0.0000), Mn at (0.5000, 0.5000, 0.5000), Sb at (0.0000, 0.5000, 0.0000) and I at (0.0000, 0.0000, 0.5000).